# Ba3Li6Cd2

A geometry-optimized Ba3Li6Cd2 structure (PBE, the Alexandria database).

Values from the calculation:
N(E_F): 19.2 states/eV/cell
M_tot: 0.119 μB per atom
DFT total energy: -1.839 eV per atom

abc: 9.5445 9.5445 9.5445
angles: 109.47 109.47 109.47
Closest atoms and distances in Å follow each position.
Atoms (fractional coordinates):
Ba: 0.7262 0.0000 0.7262  8 Li 3.64-3.69, 4 Cd 3.91
Ba: 0.2738 0.0000 0.2738  8 Li 3.64-3.69, 4 Cd 3.91
Ba: 0.0000 0.2738 0.2738  8 Li 3.64-3.69, 4 Cd 3.91
Ba: 0.0000 0.7262 0.7262  8 Li 3.64-3.69, 4 Cd 3.91
Ba: 0.2738 0.2738 0.0000  8 Li 3.64-3.69, 4 Cd 3.91
Ba: 0.7262 0.7262 0.0000  8 Li 3.64-3.69, 4 Cd 3.91
Li: 0.6699 0.3397 0.6699  2 Cd 3.03, 4 Li 3.18
Li: 0.6699 0.0000 0.3301  2 Cd 3.03, 4 Li 3.18
Li: 0.3301 0.0000 0.6699  2 Cd 3.03, 4 Li 3.18
Li: 0.3301 0.6603 0.3301  2 Cd 3.03, 4 Li 3.18
Li: 0.0000 0.6699 0.3301  2 Cd 3.03, 4 Li 3.18
Li: 0.6603 0.3301 0.3301  2 Cd 3.03, 4 Li 3.18
Li: 0.3397 0.6699 0.6699  2 Cd 3.03, 4 Li 3.18
Li: 0.0000 0.3301 0.6699  2 Cd 3.03, 4 Li 3.18
Li: 0.3301 0.6699 0.0000  2 Cd 3.03, 4 Li 3.18
Li: 0.6699 0.6699 0.3397  2 Cd 3.03, 4 Li 3.18
Li: 0.3301 0.3301 0.6603  2 Cd 3.03, 4 Li 3.18
Li: 0.6699 0.3301 0.0000  2 Cd 3.03, 4 Li 3.18
Cd: 0.0000 0.5000 0.0000  6 Li 3.03
Cd: 0.5000 0.0000 0.0000  6 Li 3.03
Cd: 0.0000 0.0000 0.5000  6 Li 3.03
Cd: 0.5000 0.5000 0.5000  6 Li 3.03